# K2BeCrF6 PBE+U optimized geometry
# VASP energy	-0.390	Ry/atom
# calculated density	2.963	g/cm³
# D(E_F)	0.000	states/eV per atom
# total moment	8.00	μB/cell
# calculated volume	283.8	Å³/cell
data_K2BeCrF6
_space_group_name_H-M_alt 'C 1 m 1'
_space_group_IT_number 8
_space_group_name_Hall 'C -2y'
_cell_length_a 8.582
_cell_length_b 7.728
_cell_length_c 5.810
_cell_angle_alpha 90.00
_cell_angle_beta 132.57
_cell_angle_gamma 90.00
loop_
_atom_site_label
_atom_site_type_symbol
_atom_site_fract_x
_atom_site_fract_y
_atom_site_fract_z
K1 K 0.000 0.246 0.000
Be1 Be 0.413 0.500 0.413
Cr1 Cr 0.030 0.500 0.530
F1 F 0.012 0.180 0.513
F2 F 0.259 0.500 0.492
F3 F 0.260 0.500 0.026
F4 F 0.313 0.000 0.078
F5 F 0.315 0.000 0.552